[1]
This record from OQMD describes crystalline AcYZr at its relaxed geometry. The functional is GGA-PBE.

a = 5.418 Å, b = 5.418 Å, c = 5.418 Å
α = 60.00°, β = 60.00°, γ = 60.00°
Fractional positions:
Ac: 0.000 0.000 0.000
Y: 0.250 0.250 0.250
Zr: 0.500 0.500 0.500

Output
The calculation puts the formation enthalpy at 0 K at 0.968 eV per atom.

***

[2]
This record from OQMD describes crystalline YB3Mo at its relaxed geometry. The functional is GGA-PBE.

a = 5.446 Å, b = 3.167 Å, c = 6.842 Å
α = 90.00°, β = 101.96°, γ = 90.00°
Fractional positions:
Y: 0.176 0.250 0.209
Y: 0.824 0.750 0.791
B: 0.084 0.750 0.494
B: 0.413 0.750 0.496
B: 0.420 0.750 0.976
B: 0.580 0.250 0.024
B: 0.587 0.250 0.504
B: 0.916 0.250 0.506
Mo: 0.311 0.250 0.720
Mo: 0.689 0.750 0.280

Output
As for the calculated total energy: -8.082 eV/atom.

***

[3]
This record from OQMD describes crystalline GdYIn4Pd2 at its relaxed geometry. The functional is GGA-PBE.

a = 7.573 Å, b = 5.729 Å, c = 5.729 Å
α = 46.08°, β = 90.00°, γ = 90.00°
Fractional positions:
Gd: 0.000 0.000 0.000
Y: 0.500 0.852 0.852
In: 0.201 0.289 0.289
In: 0.300 0.564 0.564
In: 0.700 0.564 0.564
In: 0.799 0.289 0.289
Pd: 0.000 0.715 0.715
Pd: 0.500 0.137 0.137

Output
As for the calculated total energy: -4.708 eV/atom.

***

[4]
This record from OQMD describes crystalline FeS at its relaxed geometry. The functional is GGA-PBE.

a = 3.601 Å, b = 3.601 Å, c = 5.180 Å
α = 90.00°, β = 90.00°, γ = 90.00°
Fractional positions:
Fe: 0.250 0.750 0.000
Fe: 0.750 0.250 0.000
S: 0.250 0.250 0.234
S: 0.750 0.750 0.766

Output
As for the calculated total energy: -6.730 eV/atom.

***

[5]
This record from OQMD describes crystalline Nb4TlGaC2 at its relaxed geometry. The functional is GGA-PBE.

a = 3.197 Å, b = 3.197 Å, c = 14.054 Å
α = 90.00°, β = 90.00°, γ = 120.00°
Fractional positions:
Nb: 0.000 0.000 0.154
Nb: 0.000 0.000 0.846
Nb: 0.333 0.667 0.325
Nb: 0.333 0.667 0.675
Tl: 0.000 0.000 0.500
Ga: 0.333 0.667 0.000
C: 0.667 0.333 0.240
C: 0.667 0.333 0.760

Output
As for the calculated total energy: -8.420 eV/atom.

***

[6]
This record from OQMD describes crystalline NbGaPt2 at its relaxed geometry. The functional is GGA-PBE.

a = 4.489 Å, b = 4.489 Å, c = 4.489 Å
α = 60.00°, β = 60.00°, γ = 60.00°
Fractional positions:
Nb: 0.000 0.000 0.000
Ga: 0.750 0.750 0.750
Pt: 0.250 0.250 0.250
Pt: 0.500 0.500 0.500

Output
As for the calculated total energy: -6.767 eV/atom.

***

[7]
This record from OQMD describes crystalline HfMgFe at its relaxed geometry. The functional is GGA-PBE.

a = 4.415 Å, b = 4.415 Å, c = 4.415 Å
α = 60.00°, β = 60.00°, γ = 60.00°
Fractional positions:
Hf: 0.000 0.000 0.000
Mg: 0.250 0.250 0.250
Fe: 0.750 0.750 0.750

Output
As for the calculated total energy: -5.608 eV/atom.

***

[8]
This record from OQMD describes crystalline Hf4Al3Mo2C3 at its relaxed geometry. The functional is GGA-PBE.

a = 5.497 Å, b = 5.497 Å, c = 14.289 Å
α = 101.11°, β = 101.11°, γ = 60.16°
Fractional positions:
Hf: 0.033 0.195 0.094
Hf: 0.133 0.303 0.406
Hf: 0.195 0.033 0.594
Hf: 0.303 0.133 0.906
Hf: 0.697 0.867 0.094
Hf: 0.805 0.967 0.406
Hf: 0.867 0.697 0.594
Hf: 0.967 0.805 0.906
Al: 0.129 0.871 0.250
Al: 0.292 0.418 0.751
Al: 0.418 0.292 0.251
Al: 0.582 0.708 0.749
Al: 0.708 0.582 0.249
Al: 0.871 0.129 0.750
Mo: 0.357 0.526 0.081
Mo: 0.474 0.643 0.419
Mo: 0.526 0.357 0.581
Mo: 0.643 0.474 0.919
C: 0.000 0.500 0.000
C: 0.168 0.666 0.500
C: 0.334 0.832 0.000
C: 0.500 0.000 0.500
C: 0.666 0.168 0.000
C: 0.832 0.334 0.500

Output
As for the calculated total energy: -8.945 eV/atom.